Entry 1:
Entry from the Alexandria database: a relaxed structure of Ce5GaIr6 (PBE).

N(E_F) = 23.2 states/eV per cell
ΔE_f = -0.666 eV per atom

Unit cell a=5.617 b=13.331 c=7.066 alpha=90.00 beta=108.01 gamma=90.00
Space group C2/m (No. 12)
Symmetry-distinct sites (fractional):
Ce  0.000  0.000  0.000 (multiplicity 2)
Ce  0.000  0.318  0.000 (multiplicity 4)
Ce  0.000  0.358  0.500 (multiplicity 4)
Ga  0.000  0.000  0.500 (multiplicity 2)
Ir  0.037  0.167  0.715 (multiplicity 8)
Ir  0.081  0.500  0.218 (multiplicity 4)

=====

Entry 2:
Entry from the Alexandria database: a relaxed structure of CeGaIr (PBE).

N(E_F) = 4.0 states/eV per cell
ΔE_f = -0.722 eV per atom

Unit cell a=4.4225 b=4.4225 c=3.6227 alpha=90.00 beta=90.00 gamma=120.00
Space group P-6m2 (No. 187)
Symmetry-distinct sites (fractional):
Ce  0.0000  0.0000  0.0000 (multiplicity 1)
Ga  0.3333  0.6667  0.5000 (multiplicity 1)
Ir  0.6667  0.3333  0.5000 (multiplicity 1)

=====

Entry 3:
Entry from the Alexandria database: a relaxed structure of Ce2GaIr (PBE).

N(E_F) = 7.0 states/eV per cell
ΔE_f = -0.572 eV per atom

Unit cell a=3.721 b=3.721 c=6.437 alpha=90.00 beta=90.00 gamma=90.00
Space group P4/mmm (No. 123)
Symmetry-distinct sites (fractional):
Ce  0.000  0.000  0.225 (multiplicity 2)
Ga  0.500  0.500  0.500 (multiplicity 1)
Ir  0.500  0.500  0.000 (multiplicity 1)

=====

Entry 4:
Entry from the Alexandria database: a relaxed structure of CeGaIr (PBE).

N(E_F) = 6.2 states/eV per cell
ΔE_f = -0.557 eV per atom

Unit cell a=3.122 b=3.122 c=11.606 alpha=90.00 beta=90.00 gamma=90.00
Space group I4mm (No. 107)
Symmetry-distinct sites (fractional):
Ce  0.000  0.000  0.000 (multiplicity 2)
Ga  0.000  0.000  0.701 (multiplicity 2)
Ir  0.000  0.000  0.324 (multiplicity 2)

=====

Entry 5:
Entry from the Alexandria database: a relaxed structure of Ce5GaIr5 (PBE).

N(E_F) = 35.5 states/eV per cell
ΔE_f = -0.536 eV per atom

Unit cell a=11.967 b=5.424 c=8.627 alpha=90.00 beta=110.85 gamma=90.00
Space group C2/m (No. 12)
Symmetry-distinct sites (fractional):
Ce  0.000  0.000  0.000 (multiplicity 2)
Ce  0.176  0.500  0.826 (multiplicity 4)
Ce  0.178  0.500  0.349 (multiplicity 4)
Ga  0.000  0.000  0.500 (multiplicity 2)
Ir  0.000  0.500  0.500 (multiplicity 2)
Ir  0.131  0.000  0.321 (multiplicity 4)
Ir  0.140  0.000  0.815 (multiplicity 4)

=====

Entry 6:
Entry from the Alexandria database: a relaxed structure of Ce4GaIr (PBE).

N(E_F) = 296.4 states/eV per cell
ΔE_f = -0.417 eV per atom

Unit cell a=13.518 b=13.518 c=13.518 alpha=90.00 beta=90.00 gamma=90.00
Space group F-43m (No. 216)
Symmetry-distinct sites (fractional):
Ce  0.000  0.000  0.183 (multiplicity 24)
Ce  0.046  0.250  0.750 (multiplicity 24)
Ce  0.104  0.104  0.396 (multiplicity 16)
Ga  0.172  0.172  0.172 (multiplicity 16)
Ir  0.110  0.110  0.610 (multiplicity 16)

=====

Entry 7:
Entry from the Alexandria database: a relaxed structure of Ce2Ga9Ir3 (PBE).

N(E_F) = 28.0 states/eV per cell
ΔE_f = -0.667 eV per atom

Unit cell a=13.258 b=7.686 c=9.475 alpha=90.00 beta=90.00 gamma=90.00
Space group Cmcm (No. 63)
Symmetry-distinct sites (fractional):
Ce  0.165  0.166  0.250 (multiplicity 8)
Ga  0.000  0.130  0.750 (multiplicity 4)
Ga  0.000  0.334  0.065 (multiplicity 8)
Ga  0.103  0.443  0.750 (multiplicity 8)
Ga  0.167  0.168  0.579 (multiplicity 16)
Ir  0.000  0.000  0.000 (multiplicity 4)
Ir  0.171  0.500  0.000 (multiplicity 8)

=====

Entry 8:
Entry from the Alexandria database: a relaxed structure of CeGa6Ir4 (PBE).

N(E_F) = 7.5 states/eV per cell
ΔE_f = -0.556 eV per atom

Unit cell a=7.4123 b=7.4123 c=3.9151 alpha=90.00 beta=90.00 gamma=120.00
Space group P-6m2 (No. 187)
Symmetry-distinct sites (fractional):
Ce  0.0000  0.0000  0.0000 (multiplicity 1)
Ga  0.1950  0.3900  0.5000 (multiplicity 3)
Ga  0.5317  0.0635  0.0000 (multiplicity 3)
Ir  0.3333  0.6667  0.0000 (multiplicity 1)
Ir  0.4045  0.2022  0.5000 (multiplicity 3)

=====

Entry 9:
Entry from the Alexandria database: a relaxed structure of CeGaIr (PBE).

N(E_F) = 79.4 states/eV per cell
ΔE_f = -0.491 eV per atom

Unit cell a=8.035 b=10.960 c=11.810 alpha=90.00 beta=90.00 gamma=90.00
Space group Fddd (No. 70, origin choice 2)
Symmetry-distinct sites (fractional):
Ce  0.000  0.000  0.000 (multiplicity 16)
Ga  0.125  0.001  0.625 (multiplicity 16)
Ir  0.125  0.125  0.437 (multiplicity 16)

=====

Entry 10:
Entry from the Alexandria database: a relaxed structure of CeGaIr2 (PBE).

N(E_F) = 21.8 states/eV per cell
ΔE_f = -0.134 eV per atom

Unit cell a=5.849 b=7.265 c=8.338 alpha=90.00 beta=90.00 gamma=90.00
Space group Pmma (No. 51)
Symmetry-distinct sites (fractional):
Ce  0.250  0.000  0.183 (multiplicity 2)
Ce  0.250  0.500  0.276 (multiplicity 2)
Ga  0.250  0.000  0.759 (multiplicity 2)
Ga  0.250  0.500  0.768 (multiplicity 2)
Ir  0.000  0.000  0.500 (multiplicity 2)
Ir  0.000  0.500  0.000 (multiplicity 2)
Ir  0.250  0.302  0.529 (multiplicity 4)

=====

Entry 11:
Entry from the Alexandria database: a relaxed structure of Ce12GaIr6 (PBE).

N(E_F) = 170.9 states/eV per cell
ΔE_f = -0.412 eV per atom

Unit cell a=12.3656 b=12.3656 c=12.0712 alpha=90.00 beta=90.00 gamma=120.00
Space group R-3 (No. 148, hexagonal axes)
Symmetry-distinct sites (fractional):
Ce  0.0248  0.2112  0.3936 (multiplicity 18)
Ce  0.0620  0.2275  0.8794 (multiplicity 18)
Ga  0.0000  0.0000  0.0000 (multiplicity 3)
Ir  0.0387  0.2651  0.6411 (multiplicity 18)

=====

Entry 12:
Entry from the Alexandria database: a relaxed structure of LiCeGaIr (PBE).

N(E_F) = 20.6 states/eV per cell
ΔE_f = -0.498 eV per atom

Unit cell a=6.597 b=6.597 c=6.597 alpha=90.00 beta=90.00 gamma=90.00
Space group F-43m (No. 216)
Symmetry-distinct sites (fractional):
Li  0.000  0.000  0.000 (multiplicity 4)
Ce  0.250  0.250  0.750 (multiplicity 4)
Ga  0.250  0.250  0.250 (multiplicity 4)
Ir  0.000  0.000  0.500 (multiplicity 4)

=====

Entry 13:
Entry from the Alexandria database: a relaxed structure of Ce2MgGa4Ir3 (PBE).

N(E_F) = 12.3 states/eV per cell
ΔE_f = -0.618 eV per atom

Unit cell a=4.083 b=4.083 c=11.463 alpha=90.00 beta=90.00 gamma=90.00
Space group P-4m2 (No. 115)
Symmetry-distinct sites (fractional):
Ce  0.000  0.500  0.230 (multiplicity 2)
Mg  0.000  0.000  0.500 (multiplicity 1)
Ga  0.000  0.000  0.000 (multiplicity 1)
Ga  0.000  0.500  0.642 (multiplicity 2)
Ga  0.500  0.500  0.000 (multiplicity 1)
Ir  0.000  0.500  0.861 (multiplicity 2)
Ir  0.500  0.500  0.500 (multiplicity 1)

=====

Entry 14:
Entry from the Alexandria database: a relaxed structure of Ce2MgGa3Ir4 (PBE).

N(E_F) = 12.2 states/eV per cell
ΔE_f = -0.647 eV per atom

Unit cell a=4.182 b=4.182 c=10.814 alpha=90.00 beta=90.00 gamma=90.00
Space group P-4m2 (No. 115)
Symmetry-distinct sites (fractional):
Ce  0.000  0.500  0.237 (multiplicity 2)
Mg  0.000  0.000  0.500 (multiplicity 1)
Ga  0.000  0.500  0.875 (multiplicity 2)
Ga  0.500  0.500  0.500 (multiplicity 1)
Ir  0.000  0.000  0.000 (multiplicity 1)
Ir  0.000  0.500  0.647 (multiplicity 2)
Ir  0.500  0.500  0.000 (multiplicity 1)

=====

Entry 15:
Entry from the Alexandria database: a relaxed structure of CeGa2NiIr2 (PBE).

N(E_F) = 9.4 states/eV per cell
ΔE_f = -0.242 eV per atom

Unit cell a=4.453 b=4.453 c=5.446 alpha=90.00 beta=90.00 gamma=90.00
Space group P4/mmm (No. 123)
Symmetry-distinct sites (fractional):
Ce  0.000  0.000  0.000 (multiplicity 1)
Ga  0.000  0.500  0.500 (multiplicity 2)
Ni  0.000  0.000  0.500 (multiplicity 1)
Ir  0.500  0.500  0.230 (multiplicity 2)

=====

Entry 16:
Entry from the Alexandria database: a relaxed structure of CeGa5Ni2Ir (PBE).

N(E_F) = 8.5 states/eV per cell
ΔE_f = -0.296 eV per atom

Unit cell a=4.654 b=4.654 c=7.029 alpha=90.00 beta=90.00 gamma=90.00
Space group P4/mmm (No. 123)
Symmetry-distinct sites (fractional):
Ce  0.000  0.000  0.000 (multiplicity 1)
Ga  0.000  0.500  0.306 (multiplicity 4)
Ga  0.500  0.500  0.000 (multiplicity 1)
Ni  0.500  0.500  0.325 (multiplicity 2)
Ir  0.000  0.000  0.500 (multiplicity 1)

=====

Entry 17:
Entry from the Alexandria database: a relaxed structure of CeGa5NiIr2 (PBE).

N(E_F) = 11.2 states/eV per cell
ΔE_f = -0.189 eV per atom

Unit cell a=4.792 b=4.792 c=7.674 alpha=90.00 beta=90.00 gamma=90.00
Space group P4/mmm (No. 123)
Symmetry-distinct sites (fractional):
Ce  0.000  0.000  0.000 (multiplicity 1)
Ga  0.000  0.500  0.325 (multiplicity 4)
Ga  0.500  0.500  0.000 (multiplicity 1)
Ni  0.000  0.000  0.500 (multiplicity 1)
Ir  0.500  0.500  0.300 (multiplicity 2)

=====

Entry 18:
Entry from the Alexandria database: a relaxed structure of Ce2Ga4Ni3Ir (PBE).

N(E_F) = 10.7 states/eV per cell
ΔE_f = -0.591 eV per atom

Unit cell a=4.114 b=4.114 c=10.162 alpha=90.00 beta=90.00 gamma=90.00
Space group P-4m2 (No. 115)
Symmetry-distinct sites (fractional):
Ce  0.000  0.500  0.246 (multiplicity 2)
Ga  0.000  0.000  0.000 (multiplicity 1)
Ga  0.000  0.500  0.635 (multiplicity 2)
Ga  0.500  0.500  0.000 (multiplicity 1)
Ni  0.000  0.500  0.868 (multiplicity 2)
Ni  0.500  0.500  0.500 (multiplicity 1)
Ir  0.000  0.000  0.500 (multiplicity 1)

=====

Entry 19:
Entry from the Alexandria database: a relaxed structure of CeGa4Ni2Ir (PBE).

N(E_F) = 18.3 states/eV per cell
ΔE_f = -0.453 eV per atom

Unit cell a=4.1417 b=4.1417 c=26.7200 alpha=90.00 beta=90.00 gamma=120.00
Space group R-3m (No. 166, hexagonal axes)
Symmetry-distinct sites (fractional):
Ce  0.0000  0.0000  0.0000 (multiplicity 3)
Ga  0.0000  0.0000  0.1287 (multiplicity 6)
Ga  0.0000  0.0000  0.4022 (multiplicity 6)
Ni  0.0000  0.0000  0.2297 (multiplicity 6)
Ir  0.0000  0.0000  0.5000 (multiplicity 3)

=====

Entry 20:
Entry from the Alexandria database: a relaxed structure of Ce2GaNi5Ir2 (PBE).

N(E_F) = 18.0 states/eV per cell
ΔE_f = -0.342 eV per atom

Unit cell a=9.075 b=9.075 c=3.865 alpha=90.00 beta=90.00 gamma=90.00
Space group P4/mbm (No. 127)
Symmetry-distinct sites (fractional):
Ce  0.174  0.326  0.000 (multiplicity 4)
Ga  0.000  0.000  0.000 (multiplicity 2)
Ni  0.000  0.500  0.500 (multiplicity 2)
Ni  0.058  0.807  0.500 (multiplicity 8)
Ir  0.128  0.628  0.000 (multiplicity 4)